1.
Computed, not measured: a relaxed structure of Hf7MoPb2 at the PBE-GGA level of DFT.

```
data_Hf7MoPb2
_chemical_formula_sum 'Hf28 Mo4 Pb8'
_space_group_name_H-M_alt 'F m -3 m'
_space_group_IT_number 225
_space_group_name_Hall '-F 4 2 3'
_cell_length_a 10.242
_cell_length_b 10.242
_cell_length_c 10.242
_cell_angle_alpha 90.00
_cell_angle_beta 90.00
_cell_angle_gamma 90.00
loop_
_atom_site_label
_atom_site_fract_x
_atom_site_fract_y
_atom_site_fract_z
_atom_site_occupancy
Hf1 0.000 0.000 0.000 1
Hf2 0.000 0.000 0.256 1
Mo1 0.000 0.000 0.500 1
Pb1 0.250 0.250 0.250 1
```

Values from the calculation:
Total energy, Ry per atom: -0.5788
Total magnetic moment, μB/atom: 0.0002
ΔE_f, eV/f.u.: 9.17



2.
Computed, not measured: a relaxed structure of HfMoPb at the PBE-GGA level of DFT.

```
data_HfMoPb
_chemical_formula_sum 'Hf4 Mo4 Pb4'
_space_group_name_H-M_alt 'C 1 2/m 1'
_space_group_IT_number 12
_cell_length_a 10.747
_cell_length_b 3.660
_cell_length_c 6.463
_cell_angle_alpha 90.00
_cell_angle_beta 104.52
_cell_angle_gamma 90.00
loop_
_space_group_symop_operation_xyz
'x,y,z'
'-x,-y,-z'
'-x,y,-z'
'x,-y,z'
'x+1/2,y+1/2,z'
'-x+1/2,-y+1/2,-z'
'-x+1/2,y+1/2,-z'
'x+1/2,-y+1/2,z'
loop_
_atom_site_label
_atom_site_fract_x
_atom_site_fract_y
_atom_site_fract_z
_atom_site_occupancy
Hf1 0.150 0.000 0.319 1
Mo1 0.000 0.500 0.000 1
Mo2 0.000 0.500 0.500 1
Pb1 0.151 0.000 0.809 1
```

Values from the calculation:
Total energy, Ry per atom: -0.5868
Total magnetic moment, μB/atom: 0.0000
ΔE_f, eV/f.u.: 0.54
Energy relative to the lowest polymorph listed for this composition, meV/atom: 49



3.
Computed, not measured: a relaxed structure of HfMoPb at the PBE-GGA level of DFT.

```
data_HfMoPb
_chemical_formula_sum 'Hf4 Mo4 Pb4'
_space_group_name_H-M_alt 'C 1 m 1'
_space_group_IT_number 8
_cell_length_a 11.453
_cell_length_b 3.308
_cell_length_c 7.677
_cell_angle_alpha 90.00
_cell_angle_beta 113.03
_cell_angle_gamma 90.00
loop_
_space_group_symop_operation_xyz
'x,y,z'
'x,-y,z'
'x+1/2,y+1/2,z'
'x+1/2,-y+1/2,z'
loop_
_atom_site_label
_atom_site_fract_x
_atom_site_fract_y
_atom_site_fract_z
_atom_site_occupancy
Hf1 0.000 0.000 0.000 1
Hf2 0.247 0.000 0.721 1
Mo1 0.233 0.500 0.001 1
Mo2 0.384 0.000 0.208 1
Pb1 0.183 0.500 0.349 1
Pb2 0.490 0.000 0.638 1
```

Values from the calculation:
Total energy, Ry per atom: -0.5856
Total magnetic moment, μB/atom: 0.0000
ΔE_f, eV/f.u.: 0.59
Energy relative to the lowest polymorph listed for this composition, meV/atom: 65